Record 1
Computed, not measured: a relaxed In2FeOs crystal at the GGA-PBEsol level of DFT.

Calculated values
- ρ (g/cm3) = 12.0
- E_tot (eV per atom) = -6.2876
- magnetic moment (μB/f.u.) = 2.365
- calculated volume (Å³ per atom) = 16.410
- D(E_F) (states/eV/cell) = 3.1
- space group = No. 166
- formation enthalpy at 0 K (eV/atom) = 0.499

Cell and atoms, written as POSCAR:
```
In2FeOs
1.0
2.9589 0.0000 0.0000
1.4794 2.5625 0.0000
1.4794 0.8542 8.6574
Fe In Os
1 2 1
Direct
0.0000 0.0000 0.0000 Fe
0.2517 0.2517 0.2450 In
0.7483 0.7483 0.7550 In
0.5000 0.5000 0.5000 Os
```

Record 2
Computed, not measured: a relaxed Cu2WBr crystal at the GGA-PBEsol level of DFT.

Calculated values
- ρ (g/cm3) = 11.1
- E_tot (eV per atom) = -5.1882
- formation energy from raw total energies (kcal/mol of atoms) = 20.72
- magnetic moment (μB/f.u.) = 0.000
- calculated volume (Å³ per atom) = 14.668
- D(E_F) (states/eV/cell) = 3.4
- space group = No. 10

Cell and atoms, written as POSCAR:
```
Cu2WBr
1.0
-2.0167 -1.1677 1.6007
-0.9330 -2.9107 -3.2989
3.4322 -1.8858 2.9485
Br Cu W
1 2 1
Direct
0.0000 0.5000 0.5000 Br
0.0000 0.0000 0.0000 Cu
0.5000 0.5000 0.0000 Cu
0.5000 0.0000 0.5000 W
```

Record 3
Computed, not measured: a relaxed Li3CuF6 crystal at the GGA-PBEsol level of DFT.

Calculated values
- ρ (g/cm3) = 3.5
- E_tot (eV per atom) = -4.5166
- formation energy from raw total energies (kcal/mol of atoms) = -53.88
- offset from the most stable computed form (meV/atom) = 15
- magnetic moment (μB/f.u.) = 1.999
- calculated volume (Å³ per atom) = 9.440
- space group = No. 14

Cell and atoms, written as POSCAR:
```
Li3CuF6
1.0
4.9647 0.0000 -0.0026
0.0000 5.1077 0.0000
0.0609 0.0000 7.4450
Li Cu F
6 2 12
Direct
0.5050 0.9537 0.7644 Li
0.5000 0.5000 0.0000 Li
0.4950 0.0463 0.2356 Li
0.0050 0.5463 0.2644 Li
0.0000 0.0000 0.5000 Li
0.9950 0.4537 0.7356 Li
0.5000 0.5000 0.5000 Cu
0.0000 0.0000 0.0000 Cu
0.6790 0.1786 0.9425 F
0.6680 0.1907 0.5842 F
0.6349 0.4160 0.2651 F
0.3651 0.5840 0.7349 F
0.3320 0.8093 0.4158 F
0.3210 0.8214 0.0575 F
0.1790 0.3214 0.4425 F
0.1680 0.3093 0.0842 F
0.1349 0.0840 0.7651 F
0.8651 0.9160 0.2349 F
0.8320 0.6907 0.9158 F
0.8210 0.6786 0.5575 F
```

Record 4
Computed, not measured: a relaxed K2SrSb crystal at the GGA-PBEsol level of DFT.

Calculated values
- ρ (g/cm3) = 3.0
- E_tot (eV per atom) = -2.3830
- formation energy from raw total energies (kcal/mol of atoms) = -5.00
- magnetic moment (μB/f.u.) = 0.005
- calculated volume (Å³ per atom) = 40.462
- D(E_F) (states/eV/cell) = 2.1
- space group = No. 69

Cell and atoms, written as POSCAR:
```
K2SrSb
1.0
-1.8027 3.8340 -2.5436
-4.4621 -2.0524 0.5448
2.2802 2.4645 6.6609
K Sb Sr
2 1 1
Direct
0.5000 0.0000 0.5000 K
0.0000 0.5000 0.5000 K
0.5000 0.5000 0.0000 Sb
0.0000 0.0000 0.0000 Sr
```

Record 5
Computed, not measured: a relaxed YScMo2 crystal at the GGA-PBEsol level of DFT.

Calculated values
- ρ (g/cm3) = 7.2
- E_tot (eV per atom) = -8.7552
- offset from the most stable computed form (meV/atom) = 401
- magnetic moment (μB/f.u.) = 0.000
- calculated volume (Å³ per atom) = 18.842
- D(E_F) (states/eV/cell) = 4.9
- space group = No. 65
- formation enthalpy at 0 K (eV/atom) = 0.486

Cell and atoms, written as POSCAR:
```
YScMo2
1.0
-2.4350 0.6718 -1.2231
-1.9369 -5.0909 1.0601
-0.7660 4.0292 3.7378
Mo Sc Y
2 1 1
Direct
0.0000 0.5000 0.0000 Mo
0.0000 0.0000 0.5000 Mo
0.5000 0.0000 0.0000 Sc
0.5000 0.5000 0.5000 Y
```

Record 6
Computed, not measured: a relaxed MgZn2As2O8 crystal at the GGA-PBEsol level of DFT.

Calculated values
- ρ (g/cm3) = 4.1
- E_tot (eV per atom) = -5.9681
- formation energy from raw total energies (kcal/mol of atoms) = -36.36
- magnetic moment (μB/f.u.) = 0.000
- calculated volume (Å³ per atom) = 13.336
- D(E_F) (states/eV/cell) = 0.0
- space group = No. 14

Cell and atoms, written as POSCAR:
```
MgZn2As2O8
1.0
5.3155 -0.0189 0.0000
-0.8914 7.7474 0.0000
0.0000 0.0000 8.4235
Mg Zn As O
2 4 4 16
Direct
0.0000 0.0000 0.0000 Mg
0.5000 0.5000 0.5000 Mg
0.9020 0.8888 0.3603 Zn
0.0980 0.1112 0.6397 Zn
0.5980 0.6112 0.8603 Zn
0.4020 0.3888 0.1397 Zn
0.0494 0.6948 0.6939 As
0.9506 0.3052 0.3061 As
0.4506 0.8052 0.1939 As
0.5494 0.1948 0.8061 As
0.8149 0.5385 0.6385 O
0.1851 0.4615 0.3615 O
0.6851 0.9615 0.1385 O
0.3149 0.0385 0.8615 O
0.0800 0.8654 0.5639 O
0.9200 0.1346 0.4361 O
0.4200 0.6346 0.0639 O
0.5800 0.3654 0.9361 O
0.9323 0.7579 0.8736 O
0.0677 0.2421 0.1264 O
0.5677 0.7421 0.3736 O
0.4323 0.2579 0.6264 O
0.3350 0.6158 0.6972 O
0.6650 0.3842 0.3028 O
0.1650 0.8842 0.1972 O
0.8350 0.1158 0.8028 O
```

> magnetic moment of number 6 (MgZn2As2O8)?

0.000 μB/f.u.